No. 1
Below is a relaxed TlSbS2 crystal, with properties calculated at the PBE level.

```
4
Lattice="-0.778 -3.426 -2.211 2.397 -2.205 2.573 -4.550 -1.096 3.298" Properties=species:S:1:pos:R:3 pbc="T T T"
S 0.810 -2.815 0.181
S -2.275 -0.548 1.649
Tl 0.000 0.000 0.000
Sb -1.465 -3.364 1.830
```

Crystal system ... tetragonal
Magnetization ... 0.00 μB/cell
E_form (uncorrected) ... -0.10 eV per atom

---

No. 2
Below is a relaxed Th2GaGe crystal, with properties calculated at the PBE level.

```
4
Lattice="4.155 0.000 0.000 0.000 4.432 0.000 0.000 -2.216 5.595" Properties=species:S:1:pos:R:3 pbc="T T T"
Ge 2.077 2.216 0.512
Th 0.000 2.216 5.421
Th 2.077 0.000 2.968
Ga 0.000 2.216 2.281
```

Crystal system ... orthorhombic
Magnetization ... 0.00 μB/cell
ΔH_f (0 K) ... -0.639 eV/atom

---

No. 3
Below is a relaxed Y3GeW crystal, with properties calculated at the PBE level.

```
5
Lattice="5.351 0.000 0.000 0.000 5.351 0.000 0.000 0.000 5.351" Properties=species:S:1:pos:R:3 pbc="T T T"
Y 0.000 0.000 2.676
W 0.000 0.000 0.000
Y 0.000 2.676 0.000
Ge 2.676 2.676 2.676
Y 2.676 0.000 0.000
```

Crystal system ... cubic
Magnetization ... 0.00 μB/cell
Offset from the most stable computed form ... 0 meV/atom
ΔH_f (0 K) ... 0.601 eV/atom

---

No. 4
Below is a relaxed Sc2CoRe2 crystal, with properties calculated at the PBE level.

```
10
Lattice="6.340 0.000 0.000 0.000 6.340 0.000 0.000 0.000 4.364" Properties=species:S:1:pos:R:3 pbc="T T T"
Re 4.018 0.848 0.000
Re 0.848 2.323 0.000
Co 0.000 0.000 0.000
Sc 4.283 5.227 2.182
Sc 5.227 2.057 2.182
Re 2.323 5.493 0.000
Sc 2.057 1.113 2.182
Sc 1.113 4.283 2.182
Re 5.493 4.018 0.000
Co 3.170 3.170 0.000
```

Crystal system ... tetragonal
Magnetization ... 0.00 μB/cell
Offset from the most stable computed form ... 0 meV/atom
ΔH_f (0 K) ... 0.104 eV/atom

---

No. 5
Below is a relaxed NiOsRh2 crystal, with properties calculated at the PBE level.

```
4
Lattice="5.995 0.002 0.006 -2.395 3.963 -0.001 1.204 0.727 2.290" Properties=species:S:1:pos:R:3 pbc="T T T"
Ni -0.596 2.345 1.145
Os 1.800 1.983 0.003
Rh 0.000 0.000 0.000
Rh 3.599 0.364 1.148
```

Crystal system ... orthorhombic
Magnetization ... 0.81 μB/cell
Offset from the most stable computed form ... 76 meV/atom
ΔH_f (0 K) ... 0.113 eV/atom

---

No. 6
Below is a relaxed Ba2HfMoSe crystal, with properties calculated at the PBE level.

```
5
Lattice="6.423 0.000 0.000 0.000 4.706 0.000 0.000 0.000 6.423" Properties=species:S:1:pos:R:3 pbc="T T T"
Mo 0.000 2.353 0.000
Ba 0.000 0.000 3.212
Hf 0.000 0.000 0.000
Ba 3.212 0.000 0.000
Se 3.212 2.353 3.212
```

Crystal system ... tetragonal
Magnetization ... 0.65 μB/cell
E_form (uncorrected) ... 0.70 eV per atom

---

No. 7
Below is a relaxed KBaTa2 crystal, with properties calculated at the PBE level.

```
4
Lattice="6.028 0.000 0.000 0.000 4.183 0.000 0.000 0.000 4.183" Properties=species:S:1:pos:R:3 pbc="T T T"
K 3.014 0.000 2.091
Ta 0.000 2.091 2.091
Ba 3.014 2.091 0.000
Ta 0.000 0.000 0.000
```

Crystal system ... tetragonal
Magnetization ... 0.00 μB/cell
Offset from the most stable computed form ... 756 meV/atom
ΔH_f (0 K) ... 1.481 eV/atom

---

No. 8
Below is a relaxed Mn2TcNiC crystal, with properties calculated at the PBE level.

```
5
Lattice="3.817 0.000 0.000 0.000 3.817 0.000 0.000 0.000 4.003" Properties=species:S:1:pos:R:3 pbc="T T T"
Mn 0.000 1.909 0.000
Ni 1.909 1.909 2.001
Tc 0.000 0.000 2.001
Mn 1.909 0.000 0.000
C 0.000 0.000 0.000
```

Crystal system ... tetragonal
Magnetization ... 4.29 μB/cell
ΔH_f (0 K) ... 0.160 eV/atom

---

No. 9
Below is a relaxed Ce3PrBi4 crystal, with properties calculated at the PBE level.

```
8
Lattice="-5.641 2.540 2.073 0.224 -3.816 5.286 3.270 4.642 3.212" Properties=species:S:1:pos:R:3 pbc="T T T"
Bi 1.635 2.321 1.606
Ce -1.185 3.591 2.642
Bi -1.073 1.683 5.286
Ce -2.708 -0.638 3.680
Pr 0.000 0.000 0.000
Ce 1.747 0.413 4.249
Bi -2.820 1.270 1.036
Bi 0.112 -1.908 2.643
```

Crystal system ... cubic
Magnetization ... 2.79 μB/cell
Offset from the most stable computed form ... 3 meV/atom
ΔH_f (0 K) ... -0.830 eV/atom

---

No. 10
Below is a relaxed GaHSe2Br crystal, with properties calculated at the PBE level.

```
5
Lattice="-3.422 0.676 -2.017 0.032 -3.803 -1.329 -3.999 -2.153 6.063" Properties=species:S:1:pos:R:3 pbc="T T T"
H 0.000 0.000 0.000
Se 0.016 -1.902 -0.665
Se -1.711 0.338 -1.008
Br -3.695 -2.640 1.359
Ga -1.999 -1.076 3.032
```

Crystal system ... tetragonal
Magnetization ... 0.00 μB/cell
Offset from the most stable computed form ... 0 meV/atom

---

No. 11
Below is a relaxed MgIn2I2Br2 crystal, with properties calculated at the PBE level.

```
7
Lattice="4.368 0.000 0.001 0.000 8.575 0.393 2.182 3.954 7.004" Properties=species:S:1:pos:R:3 pbc="T T T"
In 4.368 3.642 2.094
Br 2.183 3.446 4.396
Mg 0.000 0.000 0.000
I 2.184 6.548 0.772
Br 4.367 9.083 3.002
In 2.182 8.887 5.303
I 4.366 5.981 6.626
```

Crystal system ... monoclinic
Magnetization ... 0.00 μB/cell
E_form (uncorrected) ... -0.82 eV per atom

---

No. 12
Below is a relaxed Sr2YTa crystal, with properties calculated at the PBE level.

```
4
Lattice="5.693 0.023 0.000 -0.029 5.693 0.000 -2.832 -2.858 4.028" Properties=species:S:1:pos:R:3 pbc="T T T"
Ta 2.832 2.858 0.000
Sr 0.000 0.000 0.000
Sr -0.015 2.846 2.014
Y 2.846 0.011 2.014
```

Crystal system ... tetragonal
Magnetization ... 3.08 μB/cell
Offset from the most stable computed form ... 254 meV/atom
ΔH_f (0 K) ... 0.805 eV/atom

---

No. 13
Below is a relaxed Tb6Pm5Nd crystal, with properties calculated at the PBE level.

```
12
Lattice="-1.826 -3.115 -3.611 9.273 -4.002 -1.238 -5.285 -1.709 7.760" Properties=species:S:1:pos:R:3 pbc="T T T"
Pm 3.203 -5.315 -0.646
Pm 4.637 -2.001 -0.619
Pm -1.434 -3.315 -0.025
Nd 0.000 0.000 0.000
Pm 3.596 -5.511 2.936
Tb 0.362 -6.068 1.441
Tb -4.269 -4.069 2.059
Tb 6.432 -4.758 0.851
Tb 1.800 -2.759 1.469
Pm -1.041 -3.512 3.556
Tb 1.410 -2.560 -2.116
Tb 0.752 -6.267 5.026
```

Crystal system ... orthorhombic
Magnetization ... 0.00 μB/cell
ΔH_f (0 K) ... 0.015 eV/atom

---

No. 14
Below is a relaxed InH2Ru crystal, with properties calculated at the PBE level.

```
4
Lattice="-1.709 -0.807 2.507 -0.583 -2.799 -1.298 4.858 0.121 1.374" Properties=species:S:1:pos:R:3 pbc="T T T"
Ru 0.049 -0.813 1.735
In 2.007 -2.444 0.577
H 0.255 -0.115 0.134
H -0.891 -1.917 0.741
```

Crystal system ... monoclinic
Magnetization ... 0.00 μB/cell
Offset from the most stable computed form ... 0 meV/atom